A plane-wave DFT calculation with GGA-PBE was carried out for crystalline LaReCl2 at its relaxed geometry.

Structure (POSCAR):
```
LaReCl2
1.0
1.696 0.979 9.530
-1.696 0.979 9.530
0.000 -1.959 9.530
La Re Cl
1 1 2
direct
0.000 0.000 0.000 La
0.237 0.237 0.237 Re
0.522 0.522 0.522 Cl
0.740 0.740 0.740 Cl
```

Output
M_tot, μB/cell: 0.4
Total DFT energy (no corrections), eV per atom: -5.494
Theoretical density, Mg/m³: 6.92
DOS at the Fermi energy, states/eV/f.u.: 2.1
E above lowest polymorph, meV/atom: 244
Formation energy (no corrections), eV/atom: -0.23